(1)
ErMg2Tl: optimized geometry, PBE.

Cell lengths 5.190, 5.190, 5.190 Å; angles 60.00, 60.00, 60.00 degrees
Positions (direct):
Er1 0.000 0.000 0.000
Mg1 0.500 0.500 0.500
Mg2 0.750 0.750 0.750
Tl1 0.250 0.250 0.250

Output
Its space-group type is F-43m (216). Its polymorph energy (0 for the lowest one) is 0.059 eV per atom. Its uncorrected energy is -10.7 eV per formula unit. The density of states at the Fermi level is 0.5 states/eV per cell.

(2)
Er3Mg2Tl6: optimized geometry, PBE.

Cell lengths 15.634, 15.634, 15.634 Å; angles 163.48, 163.48, 23.45 degrees
Positions (direct):
Er1 0.000 0.000 0.000
Er2 0.163 0.163 0.000
Er3 0.837 0.837 0.000
Mg1 0.361 0.361 0.000
Mg2 0.639 0.639 0.000
Tl1 0.074 0.574 0.500
Tl2 0.267 0.267 0.000
Tl3 0.426 0.926 0.500
Tl4 0.574 0.074 0.500
Tl5 0.733 0.733 0.000
Tl6 0.926 0.426 0.500

Output
Its space-group type is I4/mmm (139). Its uncorrected energy is -31.5 eV per formula unit. The density of states at the Fermi level is 6.9 states/eV per cell.